## Sm8AsIr3Br4 (GGA-PBE)

Data for an optimized crystal structure of Sm8AsIr3Br4. Values from VASP.

Output
Its space-group type is No. 166. The density is 7.839 g/cm3. Its crystal system is trigonal. The calculation puts the uncorrected formation energy at -1.146 eV per atom. The value obtained for the total energy is -0.4319 Ry per atom.

```
&SYSTEM
  ibrav = 0, nat = 16, ntyp = 4
/
ATOMIC_SPECIES
Sm 150.36 Sm.upf
As 74.92 As.upf
Ir 192.22 Ir.upf
Br 79.90 Br.upf
CELL_PARAMETERS angstrom
4.184 2.416 7.594
-4.184 2.416 7.594
0.000 -4.831 7.594
ATOMIC_POSITIONS crystal
Sm 0.217 0.740 0.740
Sm 0.232 0.232 0.232
Sm 0.260 0.260 0.783
Sm 0.260 0.783 0.260
Sm 0.740 0.217 0.740
Sm 0.740 0.740 0.217
Sm 0.768 0.768 0.768
Sm 0.783 0.260 0.260
As 0.500 0.500 0.500
Ir 0.000 0.000 0.500
Ir 0.000 0.500 0.000
Ir 0.500 0.000 0.000
Br 0.000 0.000 0.000
Br 0.000 0.500 0.500
Br 0.500 0.000 0.500
Br 0.500 0.500 0.000
```

## Ti2Ni5Rh (GGA-PBE)

Data for an optimized crystal structure of Ti2Ni5Rh. Values from VASP.

Output
The calculation puts the calculated formation energy at -0.218 eV per atom. Its space-group type is No. 71. The density is 8.128 g/cm3. Its crystal system is orthorhombic. The value obtained for the total energy is -0.4942 Ry per atom.

```
&SYSTEM
  ibrav = 0, nat = 8, ntyp = 3
/
ATOMIC_SPECIES
Ti 47.87 Ti.upf
Ni 58.69 Ni.upf
Rh 102.91 Rh.upf
CELL_PARAMETERS angstrom
-1.331 3.960 4.770
1.331 -3.960 4.770
1.331 3.960 -4.770
ATOMIC_POSITIONS crystal
Ti 0.241 0.241 0.000
Ti 0.759 0.759 0.000
Ni 0.145 0.871 0.274
Ni 0.402 0.129 0.274
Ni 0.500 0.500 0.000
Ni 0.598 0.871 0.726
Ni 0.855 0.129 0.726
Rh 0.000 0.500 0.500
```

## YIr2Pt (GGA-PBE)

Data for an optimized crystal structure of YIr2Pt. Values from VASP.

Output
The calculation puts the calculated formation energy at -0.233 eV per atom. Its space-group type is No. 47. The density is 15.866 g/cm3. Its crystal system is orthorhombic. The value obtained for the total energy is -0.5725 Ry per atom.

```
&SYSTEM
  ibrav = 0, nat = 4, ntyp = 3
/
ATOMIC_SPECIES
Y 88.91 Y.upf
Ir 192.22 Ir.upf
Pt 195.08 Pt.upf
CELL_PARAMETERS angstrom
2.928 0.000 0.000
0.000 3.973 0.000
0.000 0.000 6.013
ATOMIC_POSITIONS crystal
Y 0.000 0.000 0.000
Ir 0.500 0.500 0.283
Ir 0.500 0.500 0.717
Pt 0.000 0.000 0.500
```